A plane-wave DFT calculation with PBE with a Hubbard U was carried out for a geometry-optimized P2RuWO structure.

Results
Energy relative to the lowest polymorph listed for this composition   0.000 eV per atom
Magnetic moment   3.4 μB/cell

Structure (CIF):
```
data_P2RuWO
_space_group_name_H-M_alt 'P 4/m m m'
_space_group_IT_number 123
_space_group_name_Hall '-P 4 2'
_cell_length_a 4.817
_cell_length_b 4.817
_cell_length_c 3.613
_cell_angle_alpha 90.00
_cell_angle_beta 90.00
_cell_angle_gamma 90.00
loop_
_atom_site_label
_atom_site_type_symbol
_atom_site_fract_x
_atom_site_fract_y
_atom_site_fract_z
P1 P 0.000 0.500 0.000
Ru1 Ru 0.000 0.000 0.000
W1 W 0.500 0.500 0.500
O1 O 0.000 0.000 0.500
```